1.
# LaTlW2

LaTlW2 after structural relaxation (PBE-GGA, OQMD via LeMat-Bulk).

Geometry as CIF:
```
data_LaTlW2
_chemical_formula_sum 'La4 Tl4 W8'
_space_group_name_H-M_alt 'F -4 3 m'
_space_group_IT_number 216
_space_group_name_Hall 'F -4 2 3'
_cell_length_a 6.998
_cell_length_b 6.998
_cell_length_c 6.998
_cell_angle_alpha 90.00
_cell_angle_beta 90.00
_cell_angle_gamma 90.00
loop_
_atom_site_label
_atom_site_type_symbol
_atom_site_fract_x
_atom_site_fract_y
_atom_site_fract_z
La1 La 0.000 0.000 0.000
Tl1 Tl 0.250 0.250 0.250
W1 W 0.000 0.000 0.500
W2 W 0.250 0.250 0.750
```

Properties
M_tot	0.0	μB/cell

2.
# SmBeFe

SmBeFe after structural relaxation (PBE-GGA, OQMD via LeMat-Bulk).

Geometry as CIF:
```
data_SmBeFe
_chemical_formula_sum 'Sm4 Be4 Fe4'
_space_group_name_H-M_alt 'F -4 3 m'
_space_group_IT_number 216
_space_group_name_Hall 'F -4 2 3'
_cell_length_a 6.032
_cell_length_b 6.032
_cell_length_c 6.032
_cell_angle_alpha 90.00
_cell_angle_beta 90.00
_cell_angle_gamma 90.00
loop_
_atom_site_label
_atom_site_type_symbol
_atom_site_fract_x
_atom_site_fract_y
_atom_site_fract_z
Sm1 Sm 0.000 0.000 0.000
Be1 Be 0.000 0.000 0.500
Fe1 Fe 0.250 0.250 0.750
```

Properties
M_tot	3.9	μB/cell
offset from the most stable computed form	0.000	eV per atom

3.
# Gd3Si2Ag4Sn2

Gd3Si2Ag4Sn2 after structural relaxation (PBE-GGA, OQMD via LeMat-Bulk).

Geometry as CIF:
```
data_Gd3Si2Ag4Sn2
_chemical_formula_sum 'Gd6 Si4 Ag8 Sn4'
_space_group_name_H-M_alt 'I m m m'
_space_group_IT_number 71
_space_group_name_Hall '-I 2 2'
_cell_length_a 4.380
_cell_length_b 7.296
_cell_length_c 14.875
_cell_angle_alpha 90.00
_cell_angle_beta 90.00
_cell_angle_gamma 90.00
loop_
_atom_site_label
_atom_site_type_symbol
_atom_site_fract_x
_atom_site_fract_y
_atom_site_fract_z
Gd1 Gd 0.000 0.000 0.000
Gd2 Gd 0.000 0.500 0.132
Si1 Si 0.000 0.000 0.217
Ag1 Ag 0.000 0.305 0.321
Sn1 Sn 0.000 0.197 0.500
```

Properties
M_tot	0.0	μB/cell

4.
# GdDyTm2

GdDyTm2 after structural relaxation (PBE-GGA, OQMD via LeMat-Bulk).

Geometry as CIF:
```
data_GdDyTm2
_chemical_formula_sum 'Gd4 Dy4 Tm8'
_space_group_name_H-M_alt 'A m m 2'
_space_group_IT_number 38
_cell_length_a 5.593
_cell_length_b 7.167
_cell_length_c 12.415
_cell_angle_alpha 90.00
_cell_angle_beta 90.00
_cell_angle_gamma 90.00
loop_
_space_group_symop_operation_xyz
'x,y,z'
'-x,-y,z'
'-x,y,z'
'x,-y,z'
'x,y+1/2,z+1/2'
'-x,-y+1/2,z+1/2'
'-x,y+1/2,z+1/2'
'x,-y+1/2,z+1/2'
loop_
_atom_site_label
_atom_site_type_symbol
_atom_site_fract_x
_atom_site_fract_y
_atom_site_fract_z
Gd1 Gd 0.000 0.000 0.000
Gd2 Gd 0.500 0.000 0.333
Dy1 Dy 0.000 0.249 0.750
Tm1 Tm 0.000 0.000 0.501
Tm2 Tm 0.500 0.000 0.833
Tm3 Tm 0.500 0.249 0.584
```

Properties
M_tot	0.3	μB/cell
calculated formation energy	6	meV/atom

5.
# NdThGe

NdThGe after structural relaxation (PBE-GGA, OQMD via LeMat-Bulk).

Geometry as CIF:
```
data_NdThGe
_chemical_formula_sum 'Nd4 Th4 Ge4'
_space_group_name_H-M_alt 'F -4 3 m'
_space_group_IT_number 216
_space_group_name_Hall 'F -4 2 3'
_cell_length_a 7.051
_cell_length_b 7.051
_cell_length_c 7.051
_cell_angle_alpha 90.00
_cell_angle_beta 90.00
_cell_angle_gamma 90.00
loop_
_atom_site_label
_atom_site_type_symbol
_atom_site_fract_x
_atom_site_fract_y
_atom_site_fract_z
Nd1 Nd 0.000 0.000 0.000
Th1 Th 0.250 0.250 0.250
Ge1 Ge 0.250 0.250 0.750
```

Properties
M_tot	0.6	μB/cell
offset from the most stable computed form	0.000	eV per atom

6.
# LiCdB4

LiCdB4 after structural relaxation (PBE-GGA, OQMD via LeMat-Bulk).

Geometry as CIF:
```
data_LiCdB4
_chemical_formula_sum 'Li1 Cd1 B4'
_space_group_name_H-M_alt 'P 6/m m m'
_space_group_IT_number 191
_space_group_name_Hall '-P 6 2'
_cell_length_a 3.0511
_cell_length_b 3.0511
_cell_length_c 7.3816
_cell_angle_alpha 90.00
_cell_angle_beta 90.00
_cell_angle_gamma 120.00
loop_
_atom_site_label
_atom_site_type_symbol
_atom_site_fract_x
_atom_site_fract_y
_atom_site_fract_z
Li1 Li 0.0000 0.0000 0.0000
Cd1 Cd 0.0000 0.0000 0.5000
B1 B 0.3333 0.6667 0.2252
```

Properties
offset from the most stable computed form	0.020	eV per atom

no.,E (eV for the cell shown)
1,-119.0
2,-59.6
3,-98.8
4,-72.7
5,-61.3
6,-28.0